Compound: PrTm8Cd6
Source: the Alexandria database
Functional: PBE
Structure: relaxed

As for the magnetic moment: 0.0101 μB/atom. Its formation energy is -0.05 eV/atom. The total energy is -0.2289 Ry per atom.

The space group is R-3 (No. 148, hexagonal axes) and the conventional cell measures 8.9411, 8.9411 and 18.9346 Å, with angles of 90.00, 90.00 and 120.00 degrees. Symmetry generates all atoms from Pr at (0.0000, 0.0000, 0.0000), Tm at (0.0000, 0.0000, 0.3321), Tm at (0.0021, 0.6644, 0.7826) and Cd at (0.0002, 0.3420, 0.0538).

Compound: Sr2Sn2Te
Source: the Alexandria database
Functional: PBE
Structure: relaxed

As for the magnetic moment: 0.0000 μB/atom. For the offset from the most stable computed form, the calculation gives 0.0 kJ/mol of atoms. As for the raw formation energy: -0.850 eV/atom. The total energy is -0.2758 Ry per atom.

The space group is I4/mmm (No. 139) and the conventional cell measures 4.271, 4.271 and 18.691 Å, with angles of 90.00, 90.00 and 90.00 degrees. Symmetry generates all atoms from Sr at (0.000, 0.000, 0.100), Sn at (0.000, 0.500, 0.250) and Te at (0.000, 0.000, 0.500).

Compound: Ho2AgHg4
Source: the Alexandria database
Functional: PBE
Structure: relaxed

As for the magnetic moment: 0.0000 μB/atom. For the offset from the most stable computed form, the calculation gives 31.8 kJ/mol of atoms. Its formation energy is 0.06 eV/atom. The total energy is -0.1346 Ry per atom.

The space group is I4/mmm (No. 139) and the conventional cell measures 5.287, 5.287 and 15.074 Å, with angles of 90.00, 90.00 and 90.00 degrees. Symmetry generates all atoms from Ho at (0.000, 0.000, 0.113), Ag at (0.000, 0.000, 0.500), Hg at (0.000, 0.000, 0.310) and Hg at (0.000, 0.500, 0.000).

What did the first record say?
Compound: PrTm8Cd6
Source: the Alexandria database
Functional: PBE
Structure: relaxed

As for the magnetic moment: 0.0101 μB/atom. Its formation energy is -0.05 eV/atom. The total energy is -0.2289 Ry per atom.

The space group is R-3 (No. 148, hexagonal axes) and the conventional cell measures 8.9411, 8.9411 and 18.9346 Å, with angles of 90.00, 90.00 and 120.00 degrees. Symmetry generates all atoms from Pr at (0.0000, 0.0000, 0.0000), Tm at (0.0000, 0.0000, 0.3321), Tm at (0.0021, 0.6644, 0.7826) and Cd at (0.0002, 0.3420, 0.0538).

Q: The highest magnetic moment belongs to which entry?
A: PrTm8Cd6

Q: Which formula does entry 2 have?
A: Sr2Sn2Te

Repeat the third record exactly.
Compound: Ho2AgHg4
Source: the Alexandria database
Functional: PBE
Structure: relaxed

As for the magnetic moment: 0.0000 μB/atom. For the offset from the most stable computed form, the calculation gives 31.8 kJ/mol of atoms. Its formation energy is 0.06 eV/atom. The total energy is -0.1346 Ry per atom.

The space group is I4/mmm (No. 139) and the conventional cell measures 5.287, 5.287 and 15.074 Å, with angles of 90.00, 90.00 and 90.00 degrees. Symmetry generates all atoms from Ho at (0.000, 0.000, 0.113), Ag at (0.000, 0.000, 0.500), Hg at (0.000, 0.000, 0.310) and Hg at (0.000, 0.500, 0.000).